Record 1
# CaFe5P3, optimized geometry, DFT GGA-PBE
data_CaFe5P3
_chemical_formula_sum 'Ca4 Fe20 P12'
_space_group_name_H-M_alt 'C m c m'
_space_group_IT_number 63
_space_group_name_Hall '-C 2c 2'
_cell_length_a 3.7392
_cell_length_b 12.0370
_cell_length_c 10.6272
_cell_angle_alpha 90.00
_cell_angle_beta 90.00
_cell_angle_gamma 90.00
loop_
_atom_site_label
_atom_site_fract_x
_atom_site_fract_y
_atom_site_fract_z
Ca1 0.0000 0.1786 0.2500
Fe1 0.0000 0.0000 0.0000
Fe2 0.0000 0.1889 0.5600
Fe3 0.0000 0.4618 0.1376
P1 0.0000 0.1026 0.7500
P2 0.0000 0.3676 0.5447
# E: -0.26818 Ha/atom
# V: 478.32 Å³/cell



Record 2
# LaNd2Cl8, optimized geometry, DFT GGA-PBE
data_LaNd2Cl8
_chemical_formula_sum 'La2 Nd4 Cl16'
_space_group_name_H-M_alt 'C 1 2/m 1'
_space_group_IT_number 12
_space_group_name_Hall '-C 2y'
_cell_length_a 8.5746
_cell_length_b 12.5636
_cell_length_c 5.4166
_cell_angle_alpha 90.00
_cell_angle_beta 106.21
_cell_angle_gamma 90.00
loop_
_atom_site_label
_atom_site_fract_x
_atom_site_fract_y
_atom_site_fract_z
La1 0.0000 0.0000 0.0000
Nd1 0.0000 0.3182 0.5000
Cl1 0.0000 0.2349 0.0000
Cl2 0.1347 0.5000 0.8237
Cl3 0.1921 0.1280 0.5803
# E: -0.17582 Ha/atom
# Formation energy from raw total energies: -2.126 eV per atom
# V: 560.32 Å³/cell



Record 3
# Dy2YZrS4, optimized geometry, DFT GGA-PBE
data_Dy2YZrS4
_chemical_formula_sum 'Dy2 Y1 Zr1 S4'
_space_group_name_H-M_alt 'P 1 2/m 1'
_space_group_IT_number 10
_space_group_name_Hall '-P 2y'
_cell_length_a 6.6753
_cell_length_b 3.8673
_cell_length_c 6.6780
_cell_angle_alpha 90.00
_cell_angle_beta 109.73
_cell_angle_gamma 90.00
loop_
_atom_site_label
_atom_site_fract_x
_atom_site_fract_y
_atom_site_fract_z
Dy1 0.0000 0.0000 0.0000
Dy2 0.5000 0.5000 0.0000
Y1 0.0000 0.5000 0.5000
Zr1 0.5000 0.0000 0.5000
S1 0.2540 0.0000 0.7472
S2 0.2567 0.5000 0.2561
# E: -0.25419 Ha/atom
# Formation energy from raw total energies: -1.826 eV per atom
# V: 162.27 Å³/cell



Record 4
# SrZn8Cu2, optimized geometry, DFT GGA-PBE
data_SrZn8Cu2
_chemical_formula_sum 'Sr1 Zn8 Cu2'
_space_group_name_H-M_alt 'P 4/m m m'
_space_group_IT_number 123
_space_group_name_Hall '-P 4 2'
_cell_length_a 5.1909
_cell_length_b 5.1909
_cell_length_c 9.1401
_cell_angle_alpha 90.00
_cell_angle_beta 90.00
_cell_angle_gamma 90.00
loop_
_atom_site_label
_atom_site_fract_x
_atom_site_fract_y
_atom_site_fract_z
Sr1 0.0000 0.0000 0.0000
Zn1 0.2514 0.2514 0.3064
Cu1 0.0000 0.5000 0.5000
# E: -0.06125 Ha/atom
# V: 246.29 Å³/cell



Record 5
# CsAcVN3, optimized geometry, DFT GGA-PBE
data_CsAcVN3
_chemical_formula_sum 'Cs4 Ac4 V4 N12'
_space_group_name_H-M_alt 'C 1 2/m 1'
_space_group_IT_number 12
_space_group_name_Hall '-C 2y'
_cell_length_a 14.4003
_cell_length_b 3.9544
_cell_length_c 8.7483
_cell_angle_alpha 90.00
_cell_angle_beta 104.97
_cell_angle_gamma 90.00
loop_
_atom_site_label
_atom_site_fract_x
_atom_site_fract_y
_atom_site_fract_z
Cs1 0.1373 0.0000 0.0636
Ac1 0.1569 0.0000 0.5889
V1 0.0110 0.5000 0.3284
N1 0.0133 0.0000 0.3379
N2 0.1179 0.5000 0.7681
N3 0.1497 0.5000 0.3767
# E: -0.25554 Ha/atom
# Formation energy from raw total energies: -0.444 eV per atom
# V: 481.27 Å³/cell



Record 6
# Li3PuMn2Se6, optimized geometry, DFT GGA-PBE
data_Li3PuMn2Se6
_chemical_formula_sum 'Li6 Pu2 Mn4 Se12'
_space_group_name_H-M_alt 'C 1 2/m 1'
_space_group_IT_number 12
_space_group_name_Hall '-C 2y'
_cell_length_a 6.6743
_cell_length_b 11.5419
_cell_length_c 6.7790
_cell_angle_alpha 90.00
_cell_angle_beta 109.17
_cell_angle_gamma 90.00
loop_
_atom_site_label
_atom_site_fract_x
_atom_site_fract_y
_atom_site_fract_z
Li1 0.0000 0.0000 0.0000
Li2 0.0000 0.3392 0.0000
Pu1 0.0000 0.5000 0.5000
Mn1 0.0000 0.1679 0.5000
Se1 0.2247 0.0000 0.7412
Se2 0.2412 0.1780 0.2588
# E: -0.21685 Ha/atom
# Formation energy from raw total energies: -0.958 eV per atom
# V: 493.25 Å³/cell



Record 7
# BeTeAs, optimized geometry, DFT GGA-PBE
data_BeTeAs
_chemical_formula_sum 'Be4 Te4 As4'
_space_group_name_H-M_alt 'F -4 3 m'
_space_group_IT_number 216
_space_group_name_Hall 'F -4 2 3'
_cell_length_a 6.3174
_cell_length_b 6.3174
_cell_length_c 6.3174
_cell_angle_alpha 90.00
_cell_angle_beta 90.00
_cell_angle_gamma 90.00
loop_
_atom_site_label
_atom_site_fract_x
_atom_site_fract_y
_atom_site_fract_z
Be1 0.0000 0.0000 0.0000
Te1 0.2500 0.2500 0.2500
As1 0.2500 0.2500 0.7500
# E: -0.12523 Ha/atom
# Formation energy from raw total energies: 0.431 eV per atom
# V: 252.13 Å³/cell



Record 8
# SiNi, optimized geometry, DFT GGA-PBE
data_SiNi
_chemical_formula_sum 'Si2 Ni2'
_space_group_name_H-M_alt 'P -3 m 1'
_space_group_IT_number 164
_space_group_name_Hall '-P 3 2"'
_cell_length_a 2.7248
_cell_length_b 2.7248
_cell_length_c 7.5312
_cell_angle_alpha 90.00
_cell_angle_beta 90.00
_cell_angle_gamma 120.00
loop_
_atom_site_label
_atom_site_fract_x
_atom_site_fract_y
_atom_site_fract_z
Si1 0.3333 0.6667 0.1384
Ni1 0.3333 0.6667 0.6360
# E: -0.20643 Ha/atom
# Formation energy from raw total energies: -0.015 eV per atom
# V: 48.42 Å³/cell